1.
The following is a PBEsol calculation of an optimized crystal structure of Zr2MnBe, from Alexandria.

- Mass density: 6.44 g/cm3
- Total moment: 0.00 μB/cell
- Energy relative to the elements: -59.7 meV/atom
- Crystal system: monoclinic

POSCAR file:
```
Zr2MnBe
1.0
3.320 0.000 0.032
0.000 3.897 0.000
-1.308 0.000 4.897
Zr Be Mn
2 1 1
Cartesian
2.086 1.949 1.702
2.100 0.000 4.489
0.426 0.000 2.416
0.418 1.949 3.716
```

---

2.
The following is a PBEsol calculation of an optimized crystal structure of NiSe2NO, from Alexandria.

- Mass density: 5.53 g/cm3
- Total moment: 0.00 μB/cell
- Crystal system: tetragonal
- E_form (uncorrected): 92.9 kJ/mol of atoms

POSCAR file:
```
NiSe2NO
1.0
-0.823 1.775 2.641
-4.457 0.317 -1.602
-1.120 -3.983 2.328
Se Ni N O
2 1 1 1
Cartesian
-0.560 -1.991 1.164
-2.229 0.159 -0.801
0.000 0.000 0.000
-0.411 0.887 1.320
-3.200 -0.945 1.683
```

---

3.
The following is a PBEsol calculation of an optimized crystal structure of CuRe2Ir, from Alexandria.

- Mass density: 18.92 g/cm3
- Total moment: 0.00 μB/cell
- Energy relative to the elements: 189.0 meV/atom
- Crystal system: orthorhombic
- E above lowest polymorph: 35.1 meV/atom

POSCAR file:
```
CuRe2Ir
1.0
-1.482 -2.185 0.452
3.616 -2.730 -1.346
0.033 0.935 4.632
Ir Cu Re
1 1 2
Cartesian
1.084 -1.990 1.869
-0.741 -1.093 0.226
1.808 -1.365 -0.673
0.017 0.468 2.316
```

---

4.
The following is a PBEsol calculation of an optimized crystal structure of SiRuSe2O, from Alexandria.

- Mass density: 6.83 g/cm3
- Total moment: 0.00 μB/cell
- Crystal system: tetragonal
- E_form (uncorrected): 48.9 kJ/mol of atoms

POSCAR file:
```
SiRuSe2O
1.0
3.655 0.000 0.000
0.000 4.491 0.000
0.000 0.000 4.491
Se Si Ru O
2 1 1 1
Cartesian
0.000 0.000 2.245
0.000 2.245 0.000
1.828 0.000 0.000
1.828 2.245 2.245
0.000 0.000 0.000
```

---

5.
The following is a PBEsol calculation of an optimized crystal structure of ScCdAg4, from Alexandria.

- Mass density: 8.88 g/cm3
- Total moment: 0.00 μB/cell
- Energy relative to the elements: -124.1 meV/atom
- Crystal system: cubic

POSCAR file:
```
ScCdAg4
1.0
-0.255 3.341 4.210
-2.954 -1.313 4.301
2.417 -1.312 4.625
Ag Cd Sc
4 1 1
Cartesian
-0.297 0.269 4.927
-0.425 1.938 7.031
0.910 -0.387 7.238
-1.773 -0.388 7.076
-0.594 0.537 9.852
0.000 0.000 0.000
```

---

6.
The following is a PBEsol calculation of an optimized crystal structure of Li3TiS3, from Alexandria.

- Mass density: 2.58 g/cm3
- Total moment: 0.64 μB/cell
- Crystal system: trigonal
- E_form (uncorrected): -130.3 kJ/mol of atoms

POSCAR file:
```
Li3TiS3
1.0
5.861 0.023 0.000
-1.978 6.459 0.000
-1.942 -3.241 5.605
Li S Ti
6 6 2
Cartesian
2.434 2.134 2.510
1.465 0.006 5.020
-0.492 1.106 3.096
-1.481 4.335 2.510
0.476 3.235 0.585
3.423 -1.095 3.096
1.465 0.006 2.006
4.389 1.753 1.004
-2.447 1.487 4.601
0.476 3.235 3.599
-0.483 -1.498 4.601
2.425 4.739 1.004
0.000 0.000 0.000
2.931 0.011 0.000
```

---

7.
The following is a PBEsol calculation of an optimized crystal structure of Sr2TcAg, from Alexandria.

- Mass density: 6.18 g/cm3
- Total moment: 1.65 μB/cell
- Energy relative to the elements: 574.4 meV/atom
- Crystal system: tetragonal
- E above lowest polymorph: 0.0 meV/atom

POSCAR file:
```
Sr2TcAg
1.0
-0.648 3.435 -0.029
-0.526 -0.070 3.455
8.142 1.546 1.270
Ag Sr Tc
1 2 1
Cartesian
3.484 2.456 2.348
1.940 0.368 0.302
6.202 1.178 0.967
-0.587 1.683 1.713
```

---

8.
The following is a PBEsol calculation of an optimized crystal structure of Ba3P4O13, from Alexandria.

- Mass density: 4.07 g/cm3
- Total moment: 0.00 μB/cell
- Crystal system: triclinic
- E_form (uncorrected): -258.3 kJ/mol of atoms

POSCAR file:
```
Ba3P4O13
1.0
-0.099 -4.541 6.069
2.149 -5.411 -6.416
8.226 6.455 1.675
Ba O P
6 26 8
Cartesian
2.340 -0.445 -0.185
6.405 0.620 3.649
7.936 -3.052 1.513
4.113 3.228 0.838
-0.050 -2.270 3.034
3.871 -4.116 -2.321
7.752 -1.674 3.889
2.724 -2.938 4.181
8.478 3.029 0.293
2.056 -8.299 -0.719
6.079 -2.670 -2.861
4.197 -0.826 4.189
3.243 -2.964 0.108
6.333 0.016 6.354
9.467 1.219 -1.076
4.809 0.577 0.605
2.524 -1.822 -2.561
5.865 -1.000 -1.004
7.552 -0.559 -2.853
3.943 -3.513 -5.026
2.312 -1.046 2.526
8.220 4.803 2.047
7.964 -2.451 -1.198
3.591 -6.236 -0.716
1.798 -6.525 1.035
6.898 1.264 -0.588
5.467 -4.073 0.723
4.411 -2.496 2.332
3.378 -4.761 1.916
0.809 -4.715 2.404
7.033 -0.533 1.220
6.685 2.739 2.044
4.122 -3.557 1.171
2.039 -5.572 2.288
6.154 0.061 0.157
6.938 -1.694 -2.061
8.237 2.075 -0.960
3.338 -1.803 3.389
7.390 3.812 1.234
2.887 -7.308 0.094
```

---

| no. | final energy (eV per atom) |
| --- | --- |
| 1 | -8.04 |
| 2 | -4.56 |
| 3 | -10.02 |
| 4 | -5.27 |
| 5 | -3.63 |
| 6 | -5.26 |
| 7 | -3.99 |
| 8 | -7.57 |